# CrCdNi2O

Crystalline CrCdNi2O at its relaxed geometry (PBE with a Hubbard U, Alexandria).

The total energy comes out at -2.900 eV per atom.

The space group is P4/mmm (No. 123) and the conventional cell measures 4.719, 4.719 and 3.599 Å, with angles of 90.00, 90.00 and 90.00 degrees. The asymmetric unit holds Cr at (0.000, 0.000, 0.000), Cd at (0.500, 0.500, 0.500), Ni at (0.000, 0.500, 0.000) and O at (0.000, 0.000, 0.500).